(1)
## AgTe2AuN (PBE)

Data for AgTe2AuN after structural relaxation.

Relative energy among the computed polymorphs = 106 kJ/mol of formula units
Formation energy from raw total energies = 1175 meV per atom

Cell: 5.565 5.565 3.897 Å, 90.00 90.00 90.00°
Space group P4/mmm (No. 123)
Asymmetric unit:
Ag 0.000 0.000 0.000 (multiplicity 1)
Te 0.000 0.500 0.000 (multiplicity 2)
Au 0.500 0.500 0.500 (multiplicity 1)
N 0.000 0.000 0.500 (multiplicity 1)


(2)
## KNa4Sb2 (PBE)

Data for KNa4Sb2 after structural relaxation.

Formation energy from raw total energies = -329 meV per atom

Cell: 9.354 9.354 5.327 Å, 90.00 90.00 90.00°
Space group P4_2/mnm (No. 136)
Asymmetric unit:
K 0.000 0.000 0.000 (multiplicity 2)
Na 0.097 0.334 0.500 (multiplicity 8)
Sb 0.224 0.776 0.500 (multiplicity 4)


(3)
## Li3Zn2Pd3 (PBE)

Data for Li3Zn2Pd3 after structural relaxation.

Relative energy among the computed polymorphs = 0 kJ/mol of formula units
Energy relative to the elements = -0.478 eV/atom

Cell: 7.0225 7.0225 2.8537 Å, 90.00 90.00 120.00°
Space group P-62m (No. 189)
Asymmetric unit:
Li 0.0000 0.7530 0.0000 (multiplicity 3)
Zn 0.3333 0.6667 0.0000 (multiplicity 2)
Pd 0.0000 0.3882 0.5000 (multiplicity 3)


(4)
## Ba3In4Au4 (PBE)

Data for Ba3In4Au4 after structural relaxation.

Energy relative to the elements = -0.581 eV/atom

Cell: 4.522 4.873 15.207 Å, 99.18 98.55 90.13°
Space group P-1 (No. 2)
Asymmetric unit:
Ba 0.000 0.000 0.000 (multiplicity 1)
Ba 0.148 0.648 0.295 (multiplicity 2)
In 0.251 0.252 0.503 (multiplicity 2)
In 0.403 0.903 0.806 (multiplicity 2)
Au 0.309 0.808 0.616 (multiplicity 2)
Au 0.451 0.451 0.902 (multiplicity 2)